Entry 1:
! BaSnAs2H, relaxed, DFT PBE-GGA; values from VASP
! DOS(E_F): 4.77 states/eV/f.u.
! crystal system: tetragonal
! V: 238 Å³/f.u.
! uncorrected energy: -2.3390 eV per atom
&SYSTEM
  ibrav = 0, nat = 5, ntyp = 4
/
ATOMIC_SPECIES
As 74.92 As.upf
H 1.01 H.upf
Sn 118.71 Sn.upf
Ba 137.33 Ba.upf
CELL_PARAMETERS angstrom
5.9950 0.0000 0.0000
0.0000 6.6175 0.0000
0.0000 0.0000 5.9950
ATOMIC_POSITIONS angstrom
As 2.9975 0.0000 0.0000
As 0.0000 0.0000 2.9975
H 2.9975 3.3088 2.9975
Sn 0.0000 3.3088 0.0000
Ba 0.0000 0.0000 0.0000

Entry 2:
! BaZnAsH, relaxed, DFT PBE-GGA; values from VASP
! crystal system: trigonal
! V: 84 Å³/f.u.
! uncorrected energy: -3.5095 eV per atom
&SYSTEM
  ibrav = 0, nat = 4, ntyp = 4
/
ATOMIC_SPECIES
Ba 137.33 Ba.upf
H 1.01 H.upf
As 74.92 As.upf
Zn 65.41 Zn.upf
CELL_PARAMETERS angstrom
4.3742 0.0000 0.0000
-2.1871 3.7876 0.0062
0.0000 -0.0081 5.0979
ATOMIC_POSITIONS angstrom
Ba 2.1871 3.0635 3.9938
H 0.0000 1.8001 4.5570
As 2.1871 0.5421 1.6769
Zn 0.0000 1.8054 1.1991

Entry 3:
! Ba2ZnAsH, relaxed, DFT PBE-GGA; values from VASP
! DOS(E_F): 4.20 states/eV/f.u.
! crystal system: tetragonal
! V: 190 Å³/f.u.
! uncorrected energy: -2.7403 eV per atom
&SYSTEM
  ibrav = 0, nat = 5, ntyp = 4
/
ATOMIC_SPECIES
Zn 65.41 Zn.upf
Ba 137.33 Ba.upf
As 74.92 As.upf
H 1.01 H.upf
CELL_PARAMETERS angstrom
-3.6405 0.0099 5.2086
-0.0380 -4.7037 -0.0176
5.2083 -0.0557 3.6405
ATOMIC_POSITIONS angstrom
Zn -0.0190 -2.3518 -0.0088
Ba 2.6042 -0.0279 1.8202
As 0.0000 0.0000 0.0000
Ba -1.8203 0.0050 2.6043
H 0.7649 -2.3748 4.4157

Entry 4:
! Ba2ZnAsH, relaxed, DFT PBE-GGA; values from VASP
! DOS(E_F): 0.87 states/eV/f.u.
! crystal system: tetragonal
! V: 132 Å³/f.u.
! uncorrected energy: -3.1432 eV per atom
&SYSTEM
  ibrav = 0, nat = 5, ntyp = 4
/
ATOMIC_SPECIES
As 74.92 As.upf
Ba 137.33 Ba.upf
Zn 65.41 Zn.upf
H 1.01 H.upf
CELL_PARAMETERS angstrom
-4.1700 2.2762 2.6243
-0.6824 -4.5569 2.8681
2.8039 1.5424 3.1177
ATOMIC_POSITIONS angstrom
As -1.0243 -0.3691 4.3050
Ba -2.0850 1.1381 1.3121
Ba -0.3412 -2.2784 1.4341
Zn 1.4020 0.7712 1.5588
H 0.0000 0.0000 0.0000